Version A
# Cu3Pt2 (GGA-PBEsol, optimized geometry)
# - N(E_F) (states/eV/f.u.) = 2.916
data_Cu3Pt2
_space_group_name_H-M_alt 'P 1'
_space_group_IT_number 1
_space_group_name_Hall 'P 1'
_cell_length_a 4.540
_cell_length_b 5.323
_cell_length_c 5.896
_cell_angle_alpha 103.36
_cell_angle_beta 96.69
_cell_angle_gamma 107.15
loop_
_atom_site_label
_atom_site_type_symbol
_atom_site_fract_x
_atom_site_fract_y
_atom_site_fract_z
Cu1 Cu 0.000 0.000 0.000
Cu2 Cu 0.003 0.506 0.997
Cu3 Cu 0.198 0.893 0.387
Cu4 Cu 0.203 0.409 0.390
Cu5 Cu 0.603 0.704 0.192
Cu6 Cu 0.801 0.604 0.590
Pt1 Pt 0.391 0.797 0.793
Pt2 Pt 0.403 0.306 0.794
Pt3 Pt 0.605 0.212 0.198
Pt4 Pt 0.807 0.095 0.585

---

Version B
# Cu3Pt2 (GGA-PBEsol, optimized geometry)
# - N(E_F) (states/eV/f.u.) = 2.145
data_Cu3Pt2
_space_group_name_H-M_alt 'R -3 m'
_space_group_IT_number 166
_space_group_name_Hall '-R 3 2"'
_cell_length_a 2.6696
_cell_length_b 2.6696
_cell_length_c 31.6615
_cell_angle_alpha 90.00
_cell_angle_beta 90.00
_cell_angle_gamma 120.00
loop_
_atom_site_label
_atom_site_type_symbol
_atom_site_fract_x
_atom_site_fract_y
_atom_site_fract_z
Cu1 Cu 0.0000 0.0000 0.0000
Cu2 Cu 0.0000 0.0000 0.1975
Pt1 Pt 0.0000 0.0000 0.4011

---

Among the structures above, stability is greatest for version B.